DFT (PBE) results for a relaxed structure of ZnCoRe2.

Structure (CIF):
```
data_ZnCoRe2
_cell_length_a 9.0527
_cell_length_b 2.7000
_cell_length_c 4.6018
_cell_angle_alpha 90.00
_cell_angle_beta 101.90
_cell_angle_gamma 90.00
_symmetry_space_group_name_H-M 'C 1 2/m 1'
_symmetry_Int_Tables_number 12
loop_
_symmetry_equiv_pos_as_xyz
'x,y,z'
'-x,-y,-z'
'-x,y,-z'
'x,-y,z'
'x+1/2,y+1/2,z'
'-x+1/2,-y+1/2,-z'
'-x+1/2,y+1/2,-z'
'x+1/2,-y+1/2,z'
loop_
_atom_site_label
_atom_site_type_symbol
_atom_site_fract_x
_atom_site_fract_y
_atom_site_fract_z
Zn1 Zn 0.0000 0.0000 0.0000
Co1 Co 0.0000 0.5000 0.5000
Re1 Re 0.2359 0.0000 0.7395
```

Summary:
The electronic total energy is -8.148 eV per atom.

***

DFT (PBE) results for a relaxed structure of ZnCoRe2.

Structure (CIF):
```
data_ZnCoRe2
_cell_length_a 3.0372
_cell_length_b 3.0372
_cell_length_c 5.9408
_cell_angle_alpha 90.00
_cell_angle_beta 90.00
_cell_angle_gamma 90.00
_symmetry_space_group_name_H-M 'P 4 m m'
_symmetry_Int_Tables_number 99
loop_
_symmetry_equiv_pos_as_xyz
'x,y,z'
'-y,x,z'
'-x,-y,z'
'y,-x,z'
'-x,y,z'
'y,x,z'
'x,-y,z'
'-y,-x,z'
loop_
_atom_site_label
_atom_site_type_symbol
_atom_site_fract_x
_atom_site_fract_y
_atom_site_fract_z
Zn1 Zn 0.0000 0.0000 0.0000
Co1 Co 0.5000 0.5000 0.2145
Re1 Re 0.0000 0.0000 0.4719
Re2 Re 0.5000 0.5000 0.7195
```

Summary:
The electronic total energy is -8.163 eV per atom.

***

| no. | ΔE_f (eV per formula unit) |
| --- | --- |
| 1 | 0.68 |
| 2 | 0.63 |